1.
A relaxed structure of CaScNi2, computed with GGA-PBE.

a = 4.3662 Å, b = 4.3662 Å, c = 5.4490 Å
α = 66.38°, β = 66.38°, γ = 59.99°
Atoms (fractional coordinates):
Sc: 0.7500 0.7500 0.7500
Ni: 0.0457 0.0457 0.8629
Ni: 0.4543 0.4543 0.6371
Ca: 0.2500 0.2500 0.2500

Summary:
The excess energy over the best structure of this formula in the dataset comes out at 0.094 eV per atom. Its crystal system is trigonal. Its density of states at the Fermi level is 2.44 states/eV per cell. For the uncorrected energy, the calculation gives -5.159 eV per atom. For the energy relative to the elements, the calculation gives -0.185 eV per atom.



2.
A relaxed structure of PaRh6, computed with GGA-PBE.

a = 5.8192 Å, b = 5.8192 Å, c = 5.8192 Å
α = 109.47°, β = 109.47°, γ = 109.47°
Each line ends with the local moment (μB).
Atoms (fractional coordinates):
Pa: 0.0000 0.0000 0.0000  1.34
Rh: 0.2500 0.7500 0.5000  -0.03
Rh: 0.5000 0.7500 0.2500  -0.03
Rh: 0.2500 0.5000 0.7500  -0.03
Rh: 0.7500 0.2500 0.5000  -0.03
Rh: 0.5000 0.2500 0.7500  -0.03
Rh: 0.7500 0.5000 0.2500  -0.03

Summary:
Its crystal system is cubic. Its density of states at the Fermi level is 12.13 states/eV per cell. For the uncorrected energy, the calculation gives -6.978 eV per atom. For the energy relative to the elements, the calculation gives 0.680 eV per atom.